[1]
A plane-wave DFT calculation with PBE was carried out for Er2NiGe6 after structural relaxation.

Lattice parameters (Å, degrees): 4.0416 10.8468 10.8468 21.11 90.00 90.00
Sites, in units of the cell vectors:
Er  0.0000  0.0000  0.0000
Er  0.0000  0.3365  0.3365
Ni  0.5000  0.7789  0.7789
Ge  0.0000  0.6054  0.6054
Ge  0.0000  0.7224  0.7224
Ge  0.5000  0.1027  0.1027
Ge  0.5000  0.2204  0.2204
Ge  0.5000  0.4613  0.4613
Ge  0.5000  0.8862  0.8862

## Properties
Crystal system   orthorhombic
Volume   171 Å³/cell
Electronic total energy   -5.2184 eV/atom



[2]
A plane-wave DFT calculation with PBE was carried out for Zr2S3 after structural relaxation.

Lattice parameters (Å, degrees): 6.2317 6.2317 12.5337 90.00 90.00 120.00
Sites, in units of the cell vectors:
Zr  0.0000  0.0000  0.0000
Zr  0.0000  0.0000  0.5000
Zr  0.3333  0.6667  0.0021
Zr  0.3333  0.6667  0.4979
Zr  0.3333  0.6667  0.7500
Zr  0.6667  0.3333  0.2500
Zr  0.6667  0.3333  0.5021
Zr  0.6667  0.3333  0.9979
S  0.9996  0.3300  0.3732
S  0.0004  0.3304  0.8732
S  0.9996  0.6696  0.1268
S  0.0004  0.6700  0.6268
S  0.3304  0.0004  0.3732
S  0.3300  0.9996  0.8732
S  0.3304  0.3300  0.1268
S  0.3300  0.3304  0.6268
S  0.6700  0.0004  0.1268
S  0.6696  0.9996  0.6268
S  0.6700  0.6696  0.3732
S  0.6696  0.6700  0.8732

## Properties
Crystal system   trigonal
Volume   422 Å³/cell
Electronic total energy   -7.4629 eV/atom



[3]
A plane-wave DFT calculation with PBE was carried out for SmTlIr after structural relaxation.

Lattice parameters (Å, degrees): 6.7556 6.7556 6.7556 90.00 90.00 90.00
Sites, in units of the cell vectors:
Sm  0.0000  0.0000  0.0000
Sm  0.0000  0.5000  0.5000
Sm  0.5000  0.0000  0.5000
Sm  0.5000  0.5000  0.0000
Tl  0.2500  0.2500  0.7500
Tl  0.2500  0.7500  0.2500
Tl  0.7500  0.2500  0.2500
Tl  0.7500  0.7500  0.7500
Ir  0.0000  0.0000  0.5000
Ir  0.0000  0.5000  0.0000
Ir  0.5000  0.0000  0.0000
Ir  0.5000  0.5000  0.5000

## Properties
Crystal system   cubic
Volume   308 Å³/cell
Electronic total energy   -5.0806 eV/atom